(1)
## Hf5ZnSb3 (PBE)

Data for a relaxed Hf5ZnSb3 crystal.

a = 8.5930 Å, b = 8.5930 Å, c = 5.7904 Å
α = 90.00°, β = 90.00°, γ = 120.00°
Closest atoms and distances in Å follow each position.
Element x y z (fractional)
Sb  0.6142  0.0000  0.2500  9 Hf 2.95-3.06
Sb  0.0000  0.3858  0.7500  9 Hf 2.95-3.06
Sb  0.0000  0.6142  0.2500  9 Hf 2.95-3.06
Hf  0.3333  0.6667  0.0000  2 Hf 2.90, 6 Sb 3.04
Hf  0.2694  0.0000  0.2500  2 Zn 2.73, 3 Sb 2.95-2.96
Hf  0.6667  0.3333  0.0000  2 Hf 2.90, 6 Sb 3.04
Hf  0.0000  0.2694  0.2500  2 Zn 2.73, 3 Sb 2.95-2.96
Hf  0.2694  0.2694  0.7500  2 Zn 2.73, 3 Sb 2.95-2.96
Zn  0.0000  0.0000  0.5000  6 Hf 2.73, 2 Zn 2.90
Hf  0.6667  0.3333  0.5000  2 Hf 2.90, 6 Sb 3.04
Hf  0.0000  0.7306  0.7500  2 Zn 2.73, 3 Sb 2.95-2.96
Hf  0.3333  0.6667  0.5000  2 Hf 2.90, 6 Sb 3.04
Hf  0.7306  0.7306  0.2500  2 Zn 2.73, 3 Sb 2.95-2.96
Zn  0.0000  0.0000  0.0000  6 Hf 2.73, 2 Zn 2.90
Hf  0.7306  0.0000  0.7500  2 Zn 2.73, 3 Sb 2.95-2.96
Sb  0.3858  0.3858  0.2500  9 Hf 2.95-3.06
Sb  0.3858  0.0000  0.7500  9 Hf 2.95-3.06
Sb  0.6142  0.6142  0.7500  9 Hf 2.95-3.06

Output
* calculated density: 11.87 g/cm3
* V: 185.1 Å³/f.u.
* magnetic moment: 0.00 μB/atom
* formation energy from raw total energies: -48 kJ per mole of atoms
* symmetry: No. 193
* DOS(E_F): 10.02 states/eV per cell

=====

(2)
## InCoNiAs (PBE)

Data for a relaxed InCoNiAs crystal.

a = 6.9022 Å, b = 3.3349 Å, c = 5.7104 Å
α = 90.00°, β = 105.81°, γ = 90.00°
Closest atoms and distances in Å follow each position.
Element x y z (fractional)
In  0.3263  0.0000  0.4759  3 Ni 2.76-2.77, 3 Co 2.77
Ni  0.0260  0.0000  0.0415  3 As 2.37, 1 Co 2.64
Co  0.6283  0.0000  0.9100  3 As 2.28
Co  0.6283  0.5000  0.4100  3 As 2.28
In  0.3263  0.5000  0.9759  3 Ni 2.76-2.77, 3 Co 2.77
As  0.8153  0.0000  0.3068  3 Co 2.28, 3 Ni 2.37
As  0.8153  0.5000  0.8068  3 Co 2.28, 3 Ni 2.37
Ni  0.0260  0.5000  0.5415  3 As 2.37, 1 Co 2.64

Output
* energy of formation from the pure elements: -0.047 eV/atom
* calculated density: 8.07 g/cm3
* V: 63.2 Å³/f.u.
* magnetic moment: 0.00 μB/atom
* symmetry: No. 8
* DOS(E_F): 2.61 states/eV per cell